Entry 1:
Li2Mg2Sn2PdPt | PBE | relaxed

Cell: 4.5879 4.5879 6.4840 Å, 90.00 90.00 90.00°
With the nearest neighbours (Å) after each atom.
Fractional coordinates of all 8 atoms:
Pt 0.5000 0.5000 0.5000  4 Mg 2.81, 4 Sn 2.81
Pd 0.0000 0.0000 0.0000  4 Sn 2.81, 4 Mg 2.81
Sn 0.5000 0.0000 0.7506  2 Pd 2.81, 4 Li 2.81, 2 Pt 2.81
Mg 0.0000 0.5000 0.7494  4 Li 2.81, 2 Pt 2.81, 2 Pd 2.81
Mg 0.5000 0.0000 0.2506  4 Li 2.81, 2 Pt 2.81, 2 Pd 2.81
Li 0.0000 0.0000 0.5000  4 Mg 2.81, 4 Sn 2.81
Li 0.5000 0.5000 0.0000  4 Sn 2.81, 4 Mg 2.81
Sn 0.0000 0.5000 0.2494  2 Pd 2.81, 4 Li 2.81, 2 Pt 2.81

DFT total energy: -3.90 eV/atom
space group: P-4m2, No. 115

***

Entry 2:
NaYHfNi | PBE | relaxed

Cell: 4.8745 4.8745 4.8745 Å, 60.00 60.00 60.00°
With the nearest neighbours (Å) after each atom.
Fractional coordinates of all 4 atoms:
Ni 0.5000 0.5000 0.5000  4 Na 2.99, 4 Hf 2.99
Hf 0.2500 0.2500 0.2500  4 Ni 2.99, 4 Y 2.99
Na 0.7500 0.7500 0.7500  4 Ni 2.99, 4 Y 2.99
Y 0.0000 0.0000 0.0000  4 Na 2.99, 4 Hf 2.99

DFT total energy: -5.27 eV/atom
space group: F-43m, No. 216
distance to the lowest polymorph of the same formula: 0.213 eV per atom

***

Entry 3:
Nb4SnSbC2 | PBE | relaxed

Cell: 3.3107 3.3107 13.5971 Å, 90.00 90.00 120.00°
With the nearest neighbours (Å) after each atom.
Fractional coordinates of all 8 atoms:
Nb 0.0000 0.0000 0.3299  3 C 2.22
C 0.6667 0.3333 0.7534  6 Nb 2.22-2.23
Sn 0.3333 0.6667 0.5000  6 Nb 3.00, 6 Sn 3.31
Nb 0.3333 0.6667 0.8372  3 C 2.22-2.23
Nb 0.3333 0.6667 0.1628  3 C 2.22-2.23
Sb 0.0000 0.0000 0.0000  6 Nb 2.92
Nb 0.0000 0.0000 0.6700  3 C 2.22
C 0.6667 0.3333 0.2466  6 Nb 2.22-2.23

DFT total energy: -8.77 eV/atom
space group: P-6m2, No. 187

***

Entry 4:
ZrInAu3O4 | PBE | relaxed

Cell: 5.6433 5.6433 5.6433 Å, 90.00 90.00 90.00°
With the nearest neighbours (Å) after each atom.
Fractional coordinates of all 9 atoms:
Au 0.0000 0.5000 0.5000  4 O 2.35
O 0.7123 0.7123 0.2877  1 Zr 2.07
Zr 0.5000 0.5000 0.5000  4 O 2.07
O 0.7123 0.2877 0.7123  1 Zr 2.07
In 0.0000 0.0000 0.0000  4 O 2.81
Au 0.5000 0.5000 0.0000  4 O 2.35
O 0.2877 0.2877 0.2877  1 Zr 2.07
O 0.2877 0.7123 0.7123  1 Zr 2.07
Au 0.5000 0.0000 0.5000  4 O 2.35

DFT total energy: -5.13 eV/atom
space group: P-43m, No. 215

***

One value per record, in order, for size of the total moment: 0.00; 0.07; 0.00; 0.00 Bohr magnetons per cell.